Below is a relaxed ScZnHg2 crystal, with properties calculated at the PBE level.

DFT formation energy	-0.092	eV per atom
calculated total energy	-25.7	eV for the cell shown
V	22.3	A^3/atom
total moment	0.00	μB per cell

Lattice parameters (Å, degrees): 3.5538 3.5538 24.4357 90.00 90.00 120.00
Last column: nearest neighbours and their distance in Å.
Space group R-3m (No. 166, hexagonal axes)
Symmetry-distinct sites (fractional):
Sc  0.0000  0.0000  0.0000 (multiplicity 3)  6 Hg 2.97
Zn  0.0000  0.0000  0.5000 (multiplicity 3)  6 Hg 2.81
Hg  0.0000  0.0000  0.2455 (multiplicity 6)  3 Zn 2.81, 3 Sc 2.97


Below is a relaxed ScZnHg2 crystal, with properties calculated at the PBE level.

DFT formation energy	-0.159	eV per atom
calculated total energy	-8.8	eV for the cell shown
V	20.9	A^3/atom
total moment	0.27	μB per cell

Lattice parameters (Å, degrees): 3.2733 4.0780 6.3780 90.00 101.13 90.00
Last column: nearest neighbours and their distance in Å.
Space group P2/m (No. 10)
Symmetry-distinct sites (fractional):
Sc  0.0000  0.0000  0.0000 (multiplicity 1)  8 Hg 3.04-3.08, 2 Zn 3.19, 2 Sc 3.27
Zn  0.0000  0.0000  0.5000 (multiplicity 1)  4 Hg 2.76
Hg  0.4148  0.5000  0.7451 (multiplicity 2)  2 Zn 2.76, 4 Sc 3.04-3.08


Below is a relaxed Sc3Zn2Hg4 crystal, with properties calculated at the PBE level.

DFT formation energy	-0.313	eV per atom
calculated total energy	-51.1	eV for the cell shown
V	20.4	A^3/atom
total moment	0.03	μB per cell

Lattice parameters (Å, degrees): 10.3999 4.6955 8.6881 90.00 119.91 90.00
Last column: nearest neighbours and their distance in Å.
Space group C2/m (No. 12)
Symmetry-distinct sites (fractional):
Sc  0.0000  0.0000  0.0000 (multiplicity 2)  8 Hg 3.04-3.33, 4 Zn 3.16, 2 Sc 3.24
Sc  0.1640  0.5000  0.6674 (multiplicity 4)  8 Hg 3.07-3.23, 4 Zn 3.08-3.20, 2 Sc 3.19-3.24
Zn  0.1083  0.5000  0.2816 (multiplicity 4)  3 Hg 2.64-2.65
Hg  0.0701  0.0000  0.3941 (multiplicity 4)  2 Zn 2.65, 1 Hg 2.86
Hg  0.2041  0.5000  0.0518 (multiplicity 4)  1 Zn 2.64, 2 Hg 2.84


Below is a relaxed Sc2ZnHg crystal, with properties calculated at the PBE level.

DFT formation energy	-0.219	eV per atom
calculated total energy	-30.2	eV for the cell shown
polymorph energy (0 for the lowest one)	183.7	meV/atom
V	22.0	A^3/atom
total moment	0.00	μB per cell

Lattice parameters (Å, degrees): 9.0384 3.3739 5.9059 90.00 102.30 90.00
Last column: nearest neighbours and their distance in Å.
Space group C2/m (No. 12)
Symmetry-distinct sites (fractional):
Sc  0.2466  0.0000  0.2375 (multiplicity 4)  3 Zn 2.91-2.93, 3 Hg 2.97-3.00
Zn  0.0000  0.5000  0.0000 (multiplicity 2)  6 Sc 2.91-2.93
Hg  0.0000  0.0000  0.5000 (multiplicity 2)  6 Sc 2.97-3.00


Below is a relaxed Sc3ZnHg crystal, with properties calculated at the PBE level.

DFT formation energy	-0.293	eV per atom
calculated total energy	-88.1	eV for the cell shown
polymorph energy (0 for the lowest one)	0.0	meV/atom
V	21.4	A^3/atom
total moment	5.76	μB per cell

Lattice parameters (Å, degrees): 4.8341 18.3087 4.8345 90.00 90.00 90.00
Last column: nearest neighbours and their distance in Å.
Space group Cmcm (No. 63)
Symmetry-distinct sites (fractional):
Sc  0.0000  0.0588  0.2500 (multiplicity 4)  2 Zn 2.96, 2 Hg 2.98, 4 Sc 3.24
Sc  0.0000  0.2500  0.2500 (multiplicity 4)  4 Hg 2.99, 4 Zn 3.01
Sc  0.0000  0.4406  0.2500 (multiplicity 4)  2 Zn 2.95, 2 Hg 2.98, 4 Sc 3.24-3.25
Zn  0.0000  0.1521  0.7500 (multiplicity 4)  8 Sc 2.95-3.01
Hg  0.0000  0.3457  0.7500 (multiplicity 4)  8 Sc 2.98-2.99


Below is a relaxed ScZnHg2 crystal, with properties calculated at the PBE level.

DFT formation energy	-0.172	eV per atom
calculated total energy	-8.9	eV for the cell shown
V	20.4	A^3/atom
total moment	0.28	μB per cell

Lattice parameters (Å, degrees): 3.3645 3.3645 7.2177 90.00 90.00 90.00
Last column: nearest neighbours and their distance in Å.
Space group P4/mmm (No. 123)
Symmetry-distinct sites (fractional):
Sc  0.0000  0.0000  0.0000 (multiplicity 1)  8 Hg 3.03, 4 Sc 3.36
Zn  0.0000  0.0000  0.5000 (multiplicity 1)  8 Hg 2.94
Hg  0.5000  0.5000  0.2607 (multiplicity 2)  4 Zn 2.94, 4 Sc 3.03


Below is a relaxed ScZnHg3 crystal, with properties calculated at the PBE level.

DFT formation energy	0.445	eV per atom
calculated total energy	-6.3	eV for the cell shown
polymorph energy (0 for the lowest one)	178.4	meV/atom
V	36.8	A^3/atom
total moment	0.92	μB per cell

Lattice parameters (Å, degrees): 5.6876 5.6876 5.6876 90.00 90.00 90.00
Last column: nearest neighbours and their distance in Å.
Space group Pm-3m (No. 221)
Symmetry-distinct sites (fractional):
Sc  0.0000  0.0000  0.0000 (multiplicity 1)  6 Hg 2.84
Zn  0.5000  0.5000  0.5000 (multiplicity 1)  12 Hg 4.02
Hg  0.0000  0.0000  0.5000 (multiplicity 3)  2 Sc 2.84


Below is a relaxed Sc11Zn4Hg9 crystal, with properties calculated at the PBE level.

DFT formation energy	-0.375	eV per atom
calculated total energy	-172.9	eV for the cell shown
V	20.8	A^3/atom
total moment	0.00	μB per cell

Lattice parameters (Å, degrees): 13.7735 20.6819 3.5044 90.00 90.00 90.00
Last column: nearest neighbours and their distance in Å.
Space group Cmmm (No. 65)
Symmetry-distinct sites (fractional):
Sc  0.0000  0.0000  0.0000 (multiplicity 2)  8 Hg 3.02
Sc  0.0000  0.1660  0.0000 (multiplicity 4)  8 Hg 3.05-3.17, 2 Sc 3.34
Sc  0.0000  0.3612  0.0000 (multiplicity 4)  4 Zn 2.81, 4 Hg 3.11
Sc  0.2152  0.5000  0.0000 (multiplicity 4)  4 Zn 2.81, 4 Hg 3.12
Sc  0.2425  0.1704  0.0000 (multiplicity 8)  2 Zn 2.79, 4 Hg 3.00-3.02
Zn  0.1461  0.4040  0.5000 (multiplicity 8)  6 Sc 2.79-2.81, 3 Hg 2.83-3.02
Hg  0.0000  0.5000  0.5000 (multiplicity 2)  4 Zn 2.83
Hg  0.1115  0.2613  0.5000 (multiplicity 8)  1 Zn 2.99, 8 Sc 3.02-3.14, 1 Hg 3.07
Hg  0.1368  0.0763  0.5000 (multiplicity 8)  8 Sc 3.00-3.17, 1 Zn 3.02, 1 Hg 3.16